# Dy2ZnAu GGA-PBE optimized geometry
# - energy (eV per atom) = -4.05
# - N(E_F) (states/eV/cell) = 3.15
data_Dy2ZnAu
_space_group_name_H-M_alt 'P 4/m m m'
_space_group_IT_number 123
_space_group_name_Hall '-P 4 2'
_cell_length_a 3.6073
_cell_length_b 3.6073
_cell_length_c 7.0569
_cell_angle_alpha 90.00
_cell_angle_beta 90.00
_cell_angle_gamma 90.00
loop_
_atom_site_label
_atom_site_type_symbol
_atom_site_fract_x
_atom_site_fract_y
_atom_site_fract_z
_atom_site_occupancy
Dy1 Dy 0.0000 0.0000 0.2486 1
Zn1 Zn 0.5000 0.5000 0.0000 1
Au1 Au 0.5000 0.5000 0.5000 1


# DyZrTcRu GGA-PBE optimized geometry
# - energy (eV per atom) = -8.45
# - N(E_F) (states/eV/cell) = 21.60
data_DyZrTcRu
_space_group_name_H-M_alt 'F -4 3 m'
_space_group_IT_number 216
_space_group_name_Hall 'F -4 2 3'
_cell_length_a 6.6834
_cell_length_b 6.6834
_cell_length_c 6.6834
_cell_angle_alpha 90.00
_cell_angle_beta 90.00
_cell_angle_gamma 90.00
loop_
_atom_site_label
_atom_site_type_symbol
_atom_site_fract_x
_atom_site_fract_y
_atom_site_fract_z
_atom_site_occupancy
Dy1 Dy 0.0000 0.0000 0.0000 1
Zr1 Zr 0.0000 0.0000 0.5000 1
Tc1 Tc 0.2500 0.2500 0.7500 1
Ru1 Ru 0.2500 0.2500 0.2500 1


# Sm2HoErSc4 GGA-PBE optimized geometry
# - energy (eV per atom) = -5.43
# - N(E_F) (states/eV/cell) = 11.20
data_Sm2HoErSc4
_space_group_name_H-M_alt 'P 1 2/m 1'
_space_group_IT_number 10
_space_group_name_Hall '-P 2y'
_cell_length_a 5.9443
_cell_length_b 3.4308
_cell_length_c 11.1660
_cell_angle_alpha 90.00
_cell_angle_beta 100.11
_cell_angle_gamma 90.00
loop_
_atom_site_label
_atom_site_type_symbol
_atom_site_fract_x
_atom_site_fract_y
_atom_site_fract_z
_atom_site_occupancy
Sm1 Sm 0.0000 0.0000 0.0000 1
Sm2 Sm 0.0000 0.5000 0.5000 1
Ho1 Ho 0.5000 0.0000 0.5000 1
Er1 Er 0.5000 0.5000 0.0000 1
Sc1 Sc 0.2514 0.0000 0.7503 1
Sc2 Sc 0.2508 0.5000 0.2499 1


# ScRh2Se GGA-PBE optimized geometry
# - energy (eV per atom) = -6.77
# - N(E_F) (states/eV/cell) = 3.16
data_ScRh2Se
_space_group_name_H-M_alt 'I m m m'
_space_group_IT_number 71
_space_group_name_Hall '-I 2 2'
_cell_length_a 3.6785
_cell_length_b 4.2140
_cell_length_c 8.2418
_cell_angle_alpha 90.00
_cell_angle_beta 90.00
_cell_angle_gamma 90.00
loop_
_atom_site_label
_atom_site_type_symbol
_atom_site_fract_x
_atom_site_fract_y
_atom_site_fract_z
_atom_site_occupancy
Sc1 Sc 0.0000 0.0000 0.0000 1
Rh1 Rh 0.0000 0.5000 0.2298 1
Se1 Se 0.0000 0.0000 0.5000 1


# Ca2MnCl6 GGA-PBE optimized geometry
# - energy (eV per atom) = -4.63
# - N(E_F) (states/eV/cell) = 0.00
data_Ca2MnCl6
_space_group_name_H-M_alt 'P 42/m n m'
_space_group_IT_number 136
_space_group_name_Hall '-P 4n 2n'
_cell_length_a 6.3293
_cell_length_b 6.3293
_cell_length_c 12.1177
_cell_angle_alpha 90.00
_cell_angle_beta 90.00
_cell_angle_gamma 90.00
loop_
_atom_site_label
_atom_site_type_symbol
_atom_site_fract_x
_atom_site_fract_y
_atom_site_fract_z
_atom_site_occupancy
Ca1 Ca 0.0000 0.0000 0.1663 1
Mn1 Mn 0.0000 0.0000 0.5000 1
Cl1 Cl 0.1906 0.1906 0.3445 1
Cl2 Cl 0.2089 0.2089 0.0000 1


# Rb3CrAs GGA-PBE optimized geometry
# - energy (eV per atom) = -2.91
# - N(E_F) (states/eV/cell) = 5.30
data_Rb3CrAs
_space_group_name_H-M_alt 'P m -3 m'
_space_group_IT_number 221
_space_group_name_Hall '-P 4 2 3'
_cell_length_a 6.7286
_cell_length_b 6.7286
_cell_length_c 6.7286
_cell_angle_alpha 90.00
_cell_angle_beta 90.00
_cell_angle_gamma 90.00
loop_
_atom_site_label
_atom_site_type_symbol
_atom_site_fract_x
_atom_site_fract_y
_atom_site_fract_z
_atom_site_occupancy
Rb1 Rb 0.0000 0.0000 0.5000 1
Cr1 Cr 0.5000 0.5000 0.5000 1
As1 As 0.0000 0.0000 0.0000 1


# Sm4ErTl GGA-PBE optimized geometry
# - energy (eV per atom) = -4.32
# - N(E_F) (states/eV/cell) = 30.95
data_Sm4ErTl
_space_group_name_H-M_alt 'C 1 2/c 1'
_space_group_IT_number 15
_space_group_name_Hall '-C 2yc'
_cell_length_a 8.8468
_cell_length_b 14.2714
_cell_length_c 6.5401
_cell_angle_alpha 90.00
_cell_angle_beta 109.38
_cell_angle_gamma 90.00
loop_
_atom_site_label
_atom_site_type_symbol
_atom_site_fract_x
_atom_site_fract_y
_atom_site_fract_z
_atom_site_occupancy
Sm1 Sm 0.0964 0.1903 0.0432 1
Sm2 Sm 0.2133 0.3786 0.3789 1
Er1 Er 0.0000 0.4107 0.7500 1
Tl1 Tl 0.0000 0.9996 0.2500 1


# AlTcRh GGA-PBE optimized geometry
# - energy (eV per atom) = -7.23
# - N(E_F) (states/eV/cell) = 12.85
data_AlTcRh
_space_group_name_H-M_alt 'F -4 3 m'
_space_group_IT_number 216
_space_group_name_Hall 'F -4 2 3'
_cell_length_a 5.8564
_cell_length_b 5.8564
_cell_length_c 5.8564
_cell_angle_alpha 90.00
_cell_angle_beta 90.00
_cell_angle_gamma 90.00
loop_
_atom_site_label
_atom_site_type_symbol
_atom_site_fract_x
_atom_site_fract_y
_atom_site_fract_z
_atom_site_occupancy
Al1 Al 0.0000 0.0000 0.0000 1
Tc1 Tc 0.0000 0.0000 0.5000 1
Rh1 Rh 0.2500 0.2500 0.2500 1


# LiLa2P4Pd3 GGA-PBE optimized geometry
# - energy (eV per atom) = -5.90
# - N(E_F) (states/eV/cell) = 2.19
data_LiLa2P4Pd3
_space_group_name_H-M_alt 'P -4 m 2'
_space_group_IT_number 115
_space_group_name_Hall 'P -4 -2'
_cell_length_a 4.3244
_cell_length_b 4.3244
_cell_length_c 9.7036
_cell_angle_alpha 90.00
_cell_angle_beta 90.00
_cell_angle_gamma 90.00
loop_
_atom_site_label
_atom_site_type_symbol
_atom_site_fract_x
_atom_site_fract_y
_atom_site_fract_z
_atom_site_occupancy
Li1 Li 0.0000 0.0000 0.0000 1
La1 La 0.0000 0.5000 0.7465 1
P1 P 0.0000 0.0000 0.5000 1
P2 P 0.0000 0.5000 0.1355 1
P3 P 0.5000 0.5000 0.5000 1
Pd1 Pd 0.0000 0.5000 0.3885 1
Pd2 Pd 0.5000 0.5000 0.0000 1


# ZrTiO2 GGA-PBE optimized geometry
# - energy (eV per atom) = -8.84
# - N(E_F) (states/eV/cell) = 6.76
data_ZrTiO2
_space_group_name_H-M_alt 'R -3 m'
_space_group_IT_number 166
_space_group_name_Hall '-R 3 2"'
_cell_length_a 3.1740
_cell_length_b 3.1740
_cell_length_c 18.3710
_cell_angle_alpha 90.00
_cell_angle_beta 90.00
_cell_angle_gamma 120.00
loop_
_atom_site_label
_atom_site_type_symbol
_atom_site_fract_x
_atom_site_fract_y
_atom_site_fract_z
_atom_site_occupancy
Zr1 Zr 0.0000 0.0000 0.0000 1
Ti1 Ti 0.0000 0.0000 0.5000 1
O1 O 0.0000 0.0000 0.1153 1